DFT (PBE) results for a relaxed structure of Er4Cd3In.

a = 3.6259 Å, b = 4.8493 Å, c = 11.9550 Å
α = 90.00°, β = 90.00°, γ = 90.00°
Closest atoms and distances in Å follow each position.
Space group Pmm2 (No. 25)
Asymmetric unit:
Er 0.0000 0.0000 0.0000 x1  1 In 3.18, 6 Cd 3.20-3.32
Er 0.0000 0.5000 0.3197 x1  7 Cd 3.16-3.33
Er 0.5000 0.0000 0.4963 x1  5 Cd 3.15-3.20, 2 In 3.37
Er 0.5000 0.5000 0.8219 x1  3 Cd 3.15-3.38, 4 In 3.20
Cd 0.0000 0.5000 0.5837 x1  2 In 3.02, 7 Er 3.16-3.38
Cd 0.5000 0.0000 0.2327 x1  2 Cd 3.00, 7 Er 3.15-3.32
Cd 0.5000 0.5000 0.0856 x1  2 Cd 3.00, 7 Er 3.15-3.33
In 0.0000 0.0000 0.7340 x1  2 Cd 3.02, 7 Er 3.18-3.37

Summary:
Energy above the most stable polymorph in this dataset in meV/atom: 52
Calculated density in g/cm³: 8.86
N(E_F) in states/eV/f.u.: 6.2
E_form in eV per atom: -0.300
Electronic total energy in eV/atom: -3.266



DFT (PBE) results for a relaxed structure of In3IrBr.

a = 13.3005 Å, b = 5.3703 Å, c = 8.0296 Å
α = 90.00°, β = 105.87°, γ = 90.00°
Closest atoms and distances in Å follow each position.
Space group C2/m (No. 12)
Asymmetric unit:
In 0.0670 0.0000 0.2071 x4  2 Ir 2.65-2.70
In 0.1370 0.0000 0.6035 x4  1 Ir 2.63
In 0.1476 0.5000 0.9351 x4  3 Ir 2.69-2.70
Ir 0.1424 0.0000 0.9332 x4  6 In 2.63-2.70
Br 0.1384 0.5000 0.4356 x4  5 In 3.01-3.24

Summary:
Energy above the most stable polymorph in this dataset in meV/atom: 194
Calculated density in g/cm³: 7.42
N(E_F) in states/eV/f.u.: 2.0
Electronic total energy in eV/atom: -3.933
Uncorrected formation energy in meV/atom: -183



DFT (PBE) results for a relaxed structure of BaCaTiZn2.

a = 5.2625 Å, b = 5.2625 Å, c = 5.3918 Å
α = 90.00°, β = 90.00°, γ = 90.00°
Closest atoms and distances in Å follow each position.
Space group P4/mmm (No. 123)
Asymmetric unit:
Ba 0.0000 0.0000 0.0000 x1  4 Ca 3.72, 8 Zn 3.77
Ca 0.5000 0.5000 0.0000 x1  2 Ti 2.70
Ti 0.5000 0.5000 0.5000 x1  4 Zn 2.63, 2 Ca 2.70
Zn 0.0000 0.5000 0.5000 x2  2 Ti 2.63

Summary:
Calculated density in g/cm³: 3.96
N(E_F) in states/eV/f.u.: 5.1
E_form in eV per atom: 0.369
Electronic total energy in eV/atom: -2.504



DFT (PBE) results for a relaxed structure of KZnFeP.

a = 3.7609 Å, b = 3.7609 Å, c = 12.5720 Å
α = 90.00°, β = 90.00°, γ = 90.00°
Closest atoms and distances in Å follow each position.
Space group P4/nmm (No. 129, origin choice 2)
Asymmetric unit:
K 0.2500 0.2500 0.2453 x2  4 P 3.30, 4 Fe 3.61
Zn 0.2500 0.7500 0.5000 x2  4 Zn 2.66
Fe 0.2500 0.7500 0.0000 x2  4 P 2.19
P 0.2500 0.2500 0.9102 x2  4 Fe 2.19

Summary:
Calculated density in g/cm³: 3.57
N(E_F) in states/eV/f.u.: 2.9
E_form in eV per atom: -0.302
Electronic total energy in eV/atom: -4.363